The following is a GGA-PBE calculation of crystalline Ho2Pu3UP6 at its relaxed geometry, from the Alexandria database.

abc: 3.984 7.925 8.885
angles: 102.80 102.96 90.00
Site moments in Bohr magnetons follow the coordinates.
Sites, in units of the cell vectors:
Ho1 0.833 0.665 0.666  -0.02
Ho2 0.167 0.335 0.334  -0.02
Pu1 0.500 0.500 0.000  -4.97
Pu2 0.832 0.168 0.663  4.95
Pu3 0.168 0.832 0.337  4.95
U1 0.500 0.000 0.000  -1.52
P1 0.336 0.921 0.672  -0.06
P2 0.667 0.586 0.334  -0.04
P3 0.664 0.079 0.328  -0.06
P4 0.000 0.245 0.000  0.06
P5 0.000 0.755 0.000  0.06
P6 0.333 0.414 0.666  -0.04

Properties
space-group type = No. 12
E_form = -121.55 kJ per mole of atoms
calculated volume = 266.3 Å³ per cell
total magnetization = 0.278 μB per atom

The following is a GGA-PBE calculation of crystalline In3OsS at its relaxed geometry, from the Alexandria database.

abc: 5.054 5.054 5.054
angles: 90.00 90.00 90.00
Site moments in Bohr magnetons follow the coordinates.
Sites, in units of the cell vectors:
S1 0.000 0.000 0.000  -0.04
Os1 0.500 0.500 0.500  1.95
In1 0.000 0.500 0.000  -0.02
In2 0.000 0.000 0.500  0.02
In3 0.500 0.000 0.000  -0.04

Properties
energy relative to the lowest polymorph listed for this composition = 791 meV/atom
space-group type = No. 221
raw formation energy = 1.211 eV/atom
calculated volume = 129.1 Å³ per cell
total magnetization = 0.394 μB per atom

The following is a GGA-PBE calculation of crystalline ZnIrRu2 at its relaxed geometry, from the Alexandria database.

abc: 5.112 5.112 5.112
angles: 147.09 128.39 62.58
Sites, in units of the cell vectors:
Ir1 0.736 0.236 0.500
Ru1 0.003 0.003 0.000
Ru2 0.262 0.762 0.500
Zn1 0.499 0.499 0.000

Properties
space-group type = No. 44
E_form = 14.53 kJ per mole of atoms
calculated volume = 56.3 Å³ per cell
total magnetization = 0.000 μB per atom

The following is a GGA-PBE calculation of crystalline SrBiW3 at its relaxed geometry, from the Alexandria database.

abc: 4.933 4.933 4.933
angles: 90.00 90.00 90.00
Sites, in units of the cell vectors:
Sr1 0.000 0.000 0.000
Bi1 0.500 0.500 0.500
W1 0.000 0.500 0.000
W2 0.000 0.000 0.500
W3 0.500 0.000 0.000

Properties
energy relative to the lowest polymorph listed for this composition = 903 meV/atom
space-group type = No. 221
E_form = 333.70 kJ per mole of atoms
calculated volume = 120.0 Å³ per cell
total magnetization = 0.000 μB per atom

The following is a GGA-PBE calculation of crystalline Ti2BPtO at its relaxed geometry, from the Alexandria database.

abc: 4.014 3.847 4.014
angles: 90.00 90.00 90.00
Sites, in units of the cell vectors:
B1 0.000 0.500 0.000
O1 0.000 0.000 0.000
Pt1 0.500 0.500 0.500
Ti1 0.000 0.000 0.500
Ti2 0.500 0.000 0.000

Properties
space-group type = No. 123
raw formation energy = -0.659 eV/atom
calculated volume = 62.0 Å³ per cell
total magnetization = 0.000 μB per atom

The following is a GGA-PBE calculation of crystalline Pm2TcGe4 at its relaxed geometry, from the Alexandria database.

abc: 6.157 6.157 5.997
angles: 119.16 119.16 92.92
Sites, in units of the cell vectors:
Pm1 0.250 0.750 0.500
Pm2 0.750 0.250 0.500
Tc1 0.000 0.000 0.000
Ge1 0.711 0.711 0.000
Ge2 0.289 0.289 0.000
Ge3 0.289 0.289 0.578
Ge4 0.711 0.711 0.422

Properties
space-group type = No. 139
E_form = -34.48 kJ per mole of atoms
calculated volume = 160.5 Å³ per cell
total magnetization = 0.000 μB per atom

The following is a GGA-PBE calculation of crystalline Ca2ZnICl at its relaxed geometry, from the Alexandria database.

abc: 5.753 5.753 5.516
angles: 90.00 90.00 90.00
Sites, in units of the cell vectors:
I1 0.000 0.000 0.500
Zn1 0.000 0.000 0.000
Ca1 0.000 0.500 0.000
Ca2 0.500 0.000 0.000
Cl1 0.500 0.500 0.500

Properties
space-group type = No. 123
raw formation energy = -0.452 eV/atom
calculated volume = 182.6 Å³ per cell
total magnetization = 0.000 μB per atom

The following is a GGA-PBE calculation of crystalline AcAl3Ge2 at its relaxed geometry, from the Alexandria database.

abc: 4.674 8.133 8.626
angles: 121.00 90.00 106.70
Sites, in units of the cell vectors:
Ac1 0.847 0.694 0.918
Ac2 0.153 0.306 0.082
Al1 0.278 0.556 0.572
Al2 0.951 0.903 0.631
Al3 0.582 0.164 0.670
Al4 0.418 0.836 0.330
Al5 0.049 0.097 0.369
Al6 0.722 0.444 0.428
Ge1 0.474 0.949 0.821
Ge2 0.526 0.051 0.179
Ge3 0.832 0.663 0.276
Ge4 0.168 0.337 0.724

Properties
space-group type = No. 12
E_form = -28.19 kJ per mole of atoms
calculated volume = 264.8 Å³ per cell
total magnetization = 0.000 μB per atom